A geometry-optimized TlCu4Ir structure, computed with PBE.

a b c (Å): 4.9199 4.9199 4.9199
angles (deg): 60.00 60.00 60.00
With the nearest neighbours (Å) after each atom.
Positions (direct):
Tl: 0.0000 0.0000 0.0000  12 Cu 2.89, 4 Ir 3.01
Cu: 0.3758 0.3758 0.8726  6 Cu 2.44-2.48
Cu: 0.8726 0.3758 0.3758  6 Cu 2.44-2.48
Cu: 0.3758 0.3758 0.3758  6 Cu 2.44-2.48
Cu: 0.3758 0.8726 0.3758  6 Cu 2.44-2.48
Ir: 0.7500 0.7500 0.7500  12 Cu 2.88, 4 Tl 3.01

Results
The density of states at the Fermi level is 3.16 states/eV/f.u. The crystal system is cubic. Its formation enthalpy at 0 K is 25.59 kJ per mole of atoms.